Entry 1:
First-principles (PBE) data for crystalline PuPa2Ni at its relaxed geometry, as listed in the Alexandria database.

Formation energy: 65 kJ/mol of formula units
V: 79.2 Å³ per cell
SG: R3m

abc: 3.6631 3.6631 7.1386
angles: 75.13 75.13 60.00
Last column: nearest neighbours and their distance in Å.
Atoms (fractional coordinates):
Ni 0.6621 0.6621 0.0138  6 Pa 2.71-2.83
Pa 0.0874 0.0874 0.7379  3 Pu 2.72, 3 Ni 2.83
Pa 0.2463 0.2463 0.2612  3 Pu 2.62, 3 Ni 2.71
Pu 0.5043 0.5043 0.4871  6 Pa 2.62-2.72

Entry 2:
First-principles (PBE) data for crystalline PuPN at its relaxed geometry, as listed in the Alexandria database.

V: 53.3 Å³ per cell
SG: I4mm
Energy relative to the elements, uncorrected: -547 meV per atom

abc: 3.4546 3.4546 5.0936
angles: 109.82 109.82 90.00
Last column: nearest neighbours and their distance in Å.
Atoms (fractional coordinates):
Pu 0.7213 0.7213 0.4427  4 N 2.45
P 0.0418 0.0418 0.0836  1 N 1.74
N 0.2369 0.2369 0.4737  1 P 1.74

Entry 3:
First-principles (PBE) data for crystalline LaSm2GaN at its relaxed geometry, as listed in the Alexandria database.

V: 121.8 Å³ per cell
SG: P4/mmm
Energy relative to the elements, uncorrected: -845 meV per atom

abc: 5.0182 4.9266 4.9266
angles: 90.00 90.00 90.00
Last column: nearest neighbours and their distance in Å.
Atoms (fractional coordinates):
Ga 0.5000 0.5000 0.5000  4 La 3.48, 8 Sm 3.52
Sm 0.0000 0.5000 0.0000  2 N 2.46
Sm 0.0000 0.0000 0.5000  2 N 2.46
N 0.0000 0.0000 0.0000  4 Sm 2.46, 2 La 2.51
La 0.5000 0.0000 0.0000  2 N 2.51

Entry 4:
First-principles (PBE) data for crystalline KTlSe at its relaxed geometry, as listed in the Alexandria database.

V: 107.4 Å³ per cell
SG: F-43m
Energy relative to the elements, uncorrected: -550 meV per atom

abc: 5.3360 5.3360 5.3360
angles: 60.00 60.00 60.00
Last column: nearest neighbours and their distance in Å.
Atoms (fractional coordinates):
Se 0.5000 0.5000 0.5000  4 Tl 3.27
K 0.0000 0.0000 0.0000  4 Tl 3.27
Tl 0.7500 0.7500 0.7500  4 Se 3.27, 4 K 3.27

Entry 5:
First-principles (PBE) data for crystalline Li7HgAu3 at its relaxed geometry, as listed in the Alexandria database.

Formation energy: -423 kJ/mol of formula units
V: 387.5 Å³ per cell
SG: Cmcm

abc: 2.9940 10.8701 12.0203
angles: 90.00 90.00 97.92
Last column: nearest neighbours and their distance in Å.
Atoms (fractional coordinates):
Au 0.1699 0.3398 0.7500  8 Li 2.66-2.74
Au 0.8301 0.6602 0.2500  8 Li 2.66-2.74
Au 0.8459 0.6917 0.9439  9 Li 2.65-2.83
Au 0.1541 0.3083 0.4439  9 Li 2.65-2.83
Au 0.1541 0.3083 0.0561  9 Li 2.65-2.83
Au 0.8459 0.6917 0.5561  9 Li 2.65-2.83
Li 0.4450 0.8900 0.8829  2 Au 2.71, 2 Hg 2.77, 3 Li 2.86-2.99
Li 0.4450 0.8900 0.6171  2 Au 2.71, 2 Hg 2.77, 3 Li 2.86-2.99
Li 0.6810 0.3620 0.2500  4 Au 2.83, 8 Li 2.99-3.15
Li 0.5987 0.1975 0.6072  4 Li 2.72-2.99, 4 Au 2.74, 2 Hg 2.79
Li 0.5550 0.1100 0.3829  2 Au 2.71, 2 Hg 2.77, 3 Li 2.86-2.99
Li 0.4013 0.8025 0.1072  4 Li 2.72-2.99, 4 Au 2.74, 2 Hg 2.79
Li 0.4013 0.8025 0.3928  4 Li 2.72-2.99, 4 Au 2.74, 2 Hg 2.79
Li 0.2750 0.5500 0.4035  5 Au 2.65-2.82, 3 Li 2.72-2.96
Li 0.5550 0.1100 0.1171  2 Au 2.71, 2 Hg 2.77, 3 Li 2.86-2.99
Li 0.7250 0.4500 0.9035  5 Au 2.65-2.82, 3 Li 2.72-2.96
Li 0.5987 0.1975 0.8928  4 Li 2.72-2.99, 4 Au 2.74, 2 Hg 2.79
Li 0.3190 0.6380 0.7500  4 Au 2.83, 8 Li 2.99-3.15
Li 0.7250 0.4500 0.5965  5 Au 2.65-2.82, 3 Li 2.72-2.96
Li 0.2750 0.5500 0.0965  5 Au 2.65-2.82, 3 Li 2.72-2.96
Hg 0.9761 0.9523 0.2500  8 Li 2.77-2.79, 2 Hg 2.99
Hg 0.0239 0.0477 0.7500  8 Li 2.77-2.79, 2 Hg 2.99

Entry 6:
First-principles (PBE) data for crystalline AcMg9Hg3 at its relaxed geometry, as listed in the Alexandria database.

Formation energy: -233 kJ/mol of formula units
V: 308.7 Å³ per cell
SG: C2/m

abc: 6.0383 7.7342 7.7588
angles: 81.49 67.10 67.65
Last column: nearest neighbours and their distance in Å.
Atoms (fractional coordinates):
Mg 0.4948 0.7848 0.2200  3 Hg 2.94-2.96, 6 Mg 3.00-3.29
Mg 0.7148 0.7848 0.7800  3 Hg 2.94-2.96, 6 Mg 3.00-3.29
Mg 0.0026 0.3495 0.6455  6 Mg 2.99-3.34, 3 Hg 3.09-3.15
Mg 0.6481 0.3495 0.3545  6 Mg 2.99-3.34, 3 Hg 3.09-3.15
Mg 0.0000 0.5000 0.0000  8 Mg 3.00-3.13, 2 Hg 3.02
Mg 0.9974 0.6505 0.3545  6 Mg 2.99-3.34, 3 Hg 3.09-3.15
Mg 0.5052 0.2152 0.7800  3 Hg 2.94-2.96, 6 Mg 3.00-3.29
Mg 0.2852 0.2152 0.2200  3 Hg 2.94-2.96, 6 Mg 3.00-3.29
Mg 0.3519 0.6505 0.6455  6 Mg 2.99-3.34, 3 Hg 3.09-3.15
Hg 0.5000 0.5000 0.0000  10 Mg 2.96-3.15
Hg 0.0000 0.0000 0.5000  8 Mg 2.94-3.11, 2 Hg 3.02
Hg 0.5000 0.0000 0.5000  8 Mg 2.94-3.11, 2 Hg 3.02
Ac 0.0000 0.0000 0.0000  14 Mg 3.56-3.87, 6 Hg 3.88-3.90

Entry 7:
First-principles (PBE) data for crystalline MgBAs2Br at its relaxed geometry, as listed in the Alexandria database.

V: 116.9 Å³ per cell
SG: P4/mmm
Energy relative to the elements, uncorrected: 482 meV per atom

abc: 4.1578 4.1578 6.7644
angles: 90.00 90.00 90.00
Last column: nearest neighbours and their distance in Å.
Atoms (fractional coordinates):
Br 0.0000 0.0000 0.5000  4 Mg 2.94
As 0.0000 0.5000 0.0000  2 B 2.08
As 0.5000 0.0000 0.0000  2 B 2.08
Mg 0.5000 0.5000 0.5000  4 Br 2.94
B 0.0000 0.0000 0.0000  4 As 2.08

Entry 8:
First-principles (PBE) data for crystalline In3Sn12Pb5 at its relaxed geometry, as listed in the Alexandria database.

Formation energy: 419 kJ/mol of formula units
V: 2836.9 Å³ per cell
SG: Ia-3d

abc: 15.4463 15.4463 15.4463
angles: 109.47 109.47 109.47
Last column: nearest neighbours and their distance in Å.
Atoms (fractional coordinates):
Sn 0.7614 0.3353 0.9050  2 In 3.00-3.32, 1 Sn 3.05, 2 Pb 3.06-3.14
Sn 0.7386 0.1436 0.0739  2 In 3.00-3.32, 1 Sn 3.05, 2 Pb 3.06-3.14
Sn 0.6436 0.0739 0.2386  2 In 3.00-3.32, 1 Sn 3.05, 2 Pb 3.06-3.14
Sn 0.5697 0.9261 0.6647  2 In 3.00-3.32, 1 Sn 3.05, 2 Pb 3.06-3.14
Sn 0.4050 0.1436 0.5697  2 In 3.00-3.32, 1 Sn 3.05, 2 Pb 3.06-3.14
Sn 0.1647 0.0950 0.7386  2 In 3.00-3.32, 1 Sn 3.05, 2 Pb 3.06-3.14
Sn 0.0739 0.6436 0.7386  2 In 3.00-3.32, 1 Sn 3.05, 2 Pb 3.06-3.14
Sn 0.0697 0.1647 0.4261  2 In 3.00-3.32, 1 Sn 3.05, 2 Pb 3.06-3.14
Sn 0.6436 0.5697 0.9050  2 In 3.00-3.32, 1 Sn 3.05, 2 Pb 3.06-3.14
Sn 0.3564 0.4303 0.0950  2 In 3.00-3.32, 1 Sn 3.05, 2 Pb 3.06-3.14
Sn 0.3353 0.7614 0.4050  2 In 3.00-3.32, 1 Sn 3.05, 2 Pb 3.06-3.14
Sn 0.4050 0.2614 0.3353  2 In 3.00-3.32, 1 Sn 3.05, 2 Pb 3.06-3.14
Sn 0.9303 0.8353 0.5739  2 In 3.00-3.32, 1 Sn 3.05, 2 Pb 3.06-3.14
Sn 0.5950 0.8564 0.4303  2 In 3.00-3.32, 1 Sn 3.05, 2 Pb 3.06-3.14
Sn 0.0950 0.9303 0.3564  2 In 3.00-3.32, 1 Sn 3.05, 2 Pb 3.06-3.14
Sn 0.6647 0.2386 0.5950  2 In 3.00-3.32, 1 Sn 3.05, 2 Pb 3.06-3.14
Sn 0.2614 0.4050 0.8353  2 In 3.00-3.32, 1 Sn 3.05, 2 Pb 3.06-3.14
Sn 0.9050 0.8353 0.7614  2 In 3.00-3.32, 1 Sn 3.05, 2 Pb 3.06-3.14
Sn 0.0950 0.1647 0.2386  2 In 3.00-3.32, 1 Sn 3.05, 2 Pb 3.06-3.14
Sn 0.3353 0.5739 0.4303  2 In 3.00-3.32, 1 Sn 3.05, 2 Pb 3.06-3.14
Sn 0.1436 0.7386 0.5739  2 In 3.00-3.32, 1 Sn 3.05, 2 Pb 3.06-3.14
Sn 0.5950 0.7386 0.6647  2 In 3.00-3.32, 1 Sn 3.05, 2 Pb 3.06-3.14
Sn 0.5739 0.3353 0.9303  2 In 3.00-3.32, 1 Sn 3.05, 2 Pb 3.06-3.14
Sn 0.4303 0.0739 0.3353  2 In 3.00-3.32, 1 Sn 3.05, 2 Pb 3.06-3.14
Sn 0.5697 0.6436 0.4050  2 In 3.00-3.32, 1 Sn 3.05, 2 Pb 3.06-3.14
Sn 0.8564 0.2614 0.4261  2 In 3.00-3.32, 1 Sn 3.05, 2 Pb 3.06-3.14
Sn 0.4261 0.6647 0.0697  2 In 3.00-3.32, 1 Sn 3.05, 2 Pb 3.06-3.14
Sn 0.1647 0.0697 0.9261  2 In 3.00-3.32, 1 Sn 3.05, 2 Pb 3.06-3.14
Sn 0.5739 0.2386 0.1436  2 In 3.00-3.32, 1 Sn 3.05, 2 Pb 3.06-3.14
Sn 0.8353 0.9303 0.0739  2 In 3.00-3.32, 1 Sn 3.05, 2 Pb 3.06-3.14
Sn 0.9261 0.5697 0.1647  2 In 3.00-3.32, 1 Sn 3.05, 2 Pb 3.06-3.14
Sn 0.2386 0.6647 0.0950  2 In 3.00-3.32, 1 Sn 3.05, 2 Pb 3.06-3.14
Sn 0.0697 0.9050 0.1436  2 In 3.00-3.32, 1 Sn 3.05, 2 Pb 3.06-3.14
Sn 0.8564 0.5950 0.9303  2 In 3.00-3.32, 1 Sn 3.05, 2 Pb 3.06-3.14
Sn 0.3564 0.9261 0.7614  2 In 3.00-3.32, 1 Sn 3.05, 2 Pb 3.06-3.14
Sn 0.2614 0.8564 0.9261  2 In 3.00-3.32, 1 Sn 3.05, 2 Pb 3.06-3.14
Sn 0.4303 0.3564 0.5950  2 In 3.00-3.32, 1 Sn 3.05, 2 Pb 3.06-3.14
Sn 0.2386 0.5739 0.6436  2 In 3.00-3.32, 1 Sn 3.05, 2 Pb 3.06-3.14
Sn 0.7614 0.4261 0.3564  2 In 3.00-3.32, 1 Sn 3.05, 2 Pb 3.06-3.14
Sn 0.9050 0.0697 0.6436  2 In 3.00-3.32, 1 Sn 3.05, 2 Pb 3.06-3.14
Sn 0.1436 0.4050 0.0697  2 In 3.00-3.32, 1 Sn 3.05, 2 Pb 3.06-3.14
Sn 0.8353 0.9050 0.2614  2 In 3.00-3.32, 1 Sn 3.05, 2 Pb 3.06-3.14
Sn 0.7386 0.5950 0.1647  2 In 3.00-3.32, 1 Sn 3.05, 2 Pb 3.06-3.14
Sn 0.4261 0.7614 0.8564  2 In 3.00-3.32, 1 Sn 3.05, 2 Pb 3.06-3.14
Sn 0.6647 0.4261 0.5697  2 In 3.00-3.32, 1 Sn 3.05, 2 Pb 3.06-3.14
Sn 0.0739 0.4303 0.8353  2 In 3.00-3.32, 1 Sn 3.05, 2 Pb 3.06-3.14
Sn 0.9303 0.0950 0.8564  2 In 3.00-3.32, 1 Sn 3.05, 2 Pb 3.06-3.14
Sn 0.9261 0.3564 0.2614  2 In 3.00-3.32, 1 Sn 3.05, 2 Pb 3.06-3.14
Pb 0.8750 0.2500 0.6250  4 Sn 3.06
Pb 0.0000 0.5000 0.0000  6 Sn 3.14
Pb 0.0000 0.0000 0.5000  6 Sn 3.14
Pb 0.6250 0.8750 0.2500  4 Sn 3.06
Pb 0.5000 0.0000 0.0000  6 Sn 3.14
Pb 0.5000 0.5000 0.0000  6 Sn 3.14
Pb 0.0000 0.5000 0.5000  6 Sn 3.14
Pb 0.3750 0.1250 0.7500  4 Sn 3.06
Pb 0.7500 0.6250 0.3750  4 Sn 3.06
Pb 0.2500 0.8750 0.1250  4 Sn 3.06
Pb 0.5000 0.5000 0.5000  6 Sn 3.14
Pb 0.6250 0.7500 0.8750  4 Sn 3.06
Pb 0.2500 0.3750 0.6250  4 Sn 3.06
Pb 0.0000 0.0000 0.0000  6 Sn 3.14
Pb 0.5000 0.0000 0.5000  6 Sn 3.14
Pb 0.1250 0.3750 0.2500  4 Sn 3.06
Pb 0.7500 0.1250 0.8750  4 Sn 3.06
Pb 0.8750 0.6250 0.7500  4 Sn 3.06
Pb 0.3750 0.2500 0.1250  4 Sn 3.06
Pb 0.1250 0.7500 0.3750  4 Sn 3.06
In 0.3750 0.6250 0.2500  8 Sn 3.00-3.32
In 0.2500 0.6250 0.8750  8 Sn 3.00-3.32
In 0.7500 0.8750 0.6250  8 Sn 3.00-3.32
In 0.6250 0.2500 0.3750  8 Sn 3.00-3.32
In 0.1250 0.8750 0.7500  8 Sn 3.00-3.32
In 0.7500 0.3750 0.1250  8 Sn 3.00-3.32
In 0.8750 0.7500 0.1250  8 Sn 3.00-3.32
In 0.2500 0.1250 0.3750  8 Sn 3.00-3.32
In 0.8750 0.1250 0.2500  8 Sn 3.00-3.32
In 0.6250 0.3750 0.7500  8 Sn 3.00-3.32
In 0.3750 0.7500 0.6250  8 Sn 3.00-3.32
In 0.1250 0.2500 0.8750  8 Sn 3.00-3.32